CaCoF2: optimized geometry, GGA+U.

Cell lengths 6.2086, 6.2086, 6.2086 Å; angles 90.00, 90.00, 90.00 degrees
Closest atoms and distances in Å follow each position.
Space group Fm-3m (No. 225)
Asymmetric unit:
Ca1 0.0000 0.0000 0.0000  8 F 2.69
Co1 0.0000 0.0000 0.5000  8 F 2.69
F1 0.2500 0.2500 0.2500  4 Co 2.69, 4 Ca 2.69

Computed properties:
ΔE to the lowest computed polymorph: 549 meV/atom
Fermi-level density of states: 9.89 states/eV per cell
Total moment: 0.75 μB/atom